DFT (PBE) results for AcEr6 after structural relaxation.

Unit cell a=7.077 b=7.077 c=7.077 alpha=109.47 beta=109.47 gamma=109.47
Sites, in units of the cell vectors:
Ac 0.000 0.000 0.000
Er 0.250 0.750 0.500
Er 0.500 0.750 0.250
Er 0.250 0.500 0.750
Er 0.750 0.250 0.500
Er 0.500 0.250 0.750
Er 0.750 0.500 0.250

## Properties
D(E_F): 11.540 states/eV/cell
Total DFT energy (no corrections): -22.220 eV/cell